[1]
NiBO2F, optimized geometry, DFT GGA+U; D(E_F) = 0.08 states/eV per cell
1.0
3.3921 0.0000 0.0000
0.0000 3.3921 0.0000
0.0000 0.0000 3.3447
Ni B O F
1 1 2 1
Cartesian
0.0000 0.0000 0.0000
1.6961 1.6961 1.6723
0.0000 1.6961 1.6723
1.6961 0.0000 1.6723
1.6961 1.6961 0.0000


[2]
The following is a DFT calculation (GGA+U) of crystalline Pm2VRhO6 at its relaxed geometry.

```
Pm2VRhO6
1.0
5.4044 0.0000 0.0000
0.0000 5.8416 0.0000
-5.3196 0.0000 7.7717
Pm V Rh O
4 2 2 12
Cartesian
-0.0987 0.4064 1.9423
-2.7585 2.5144 5.8282
2.8432 3.3272 1.9435
0.1834 5.4352 5.8294
2.7022 0.0000 0.0000
0.0424 2.9208 3.8859
-2.6598 0.0000 3.8859
0.0000 2.9208 0.0000
-4.2749 1.1349 7.3690
-1.6150 1.7859 3.4832
-3.6347 4.0875 7.3478
-0.9749 4.6748 3.4620
-2.0595 0.2266 5.8619
0.6003 2.6942 1.9761
-0.5156 3.1474 5.7957
2.1442 5.6149 1.9098
1.0596 1.1668 4.3098
3.7195 1.7540 0.4239
1.6998 4.0557 4.2886
4.3596 4.7067 0.4027
```


Number 1: energy -25.0 eV for the cell shown. Number 2: energy -157.1 eV for the cell shown.